No. 1
A plane-wave DFT calculation with PBE was carried out for crystalline Ho2BeRh at its relaxed geometry.

Results
As for the energy above the most stable polymorph in this dataset: 0.005 eV/atom.

Cell lengths 6.8208, 6.8208, 6.8208 Å; angles 90.00, 90.00, 90.00 degrees
Last column: nearest neighbours and their distance in Å.
Space group Fm-3m (No. 225)
Symmetry-distinct sites (fractional):
Ho 0.2500 0.2500 0.2500 [8 per cell]  4 Be 2.95, 4 Rh 2.95
Be 0.0000 0.0000 0.0000 [4 per cell]  8 Ho 2.95
Rh 0.0000 0.0000 0.5000 [4 per cell]  8 Ho 2.95

---

No. 2
A plane-wave DFT calculation with PBE was carried out for crystalline HoBeRh at its relaxed geometry.

Results
As for the energy above the most stable polymorph in this dataset: 0.076 eV/atom.

Cell lengths 4.9743, 5.5517, 6.9608 Å; angles 90.00, 90.00, 90.00 degrees
Last column: nearest neighbours and their distance in Å.
Space group Imma (No. 74)
Symmetry-distinct sites (fractional):
Ho 0.0000 0.2500 0.1234 [4 per cell]  6 Be 2.88-3.17, 6 Rh 2.97, 2 Ho 3.05
Be 0.2500 0.2500 0.7500 [4 per cell]  2 Be 2.49, 4 Rh 2.55
Rh 0.0000 0.0000 0.5000 [4 per cell]  4 Be 2.55, 2 Rh 2.78

---

No. 3
A plane-wave DFT calculation with PBE was carried out for crystalline Ho2BeRh at its relaxed geometry.

Results
As for the energy above the most stable polymorph in this dataset: 0.000 eV/atom.

Cell lengths 3.4259, 3.4259, 6.7199 Å; angles 90.00, 90.00, 90.00 degrees
Last column: nearest neighbours and their distance in Å.
Space group P4/mmm (No. 123)
Symmetry-distinct sites (fractional):
Ho 0.0000 0.0000 0.2495 [2 per cell]  4 Be 2.95, 4 Rh 2.95
Be 0.5000 0.5000 0.0000 [1 per cell]  8 Ho 2.95
Rh 0.5000 0.5000 0.5000 [1 per cell]  8 Ho 2.95

---

No. 4
A plane-wave DFT calculation with PBE was carried out for crystalline HoBeRh at its relaxed geometry.

Results
As for the energy above the most stable polymorph in this dataset: 0.083 eV/atom.

Cell lengths 6.7311, 6.7311, 3.8910 Å; angles 90.00, 90.00, 120.00 degrees
Last column: nearest neighbours and their distance in Å.
Space group P-62m (No. 189)
Symmetry-distinct sites (fractional):
Ho 0.0000 0.4161 0.0000 [3 per cell]  5 Rh 2.80-2.81, 6 Be 3.11-3.12
Be 0.0000 0.7787 0.5000 [3 per cell]  4 Rh 2.45-2.70, 2 Be 2.58
Rh 0.0000 0.0000 0.0000 [1 per cell]  6 Be 2.45
Rh 0.3333 0.6667 0.5000 [2 per cell]  3 Be 2.70, 6 Ho 2.81

---

No. 5
A plane-wave DFT calculation with PBE was carried out for crystalline HoBeRh at its relaxed geometry.

Results
As for the energy above the most stable polymorph in this dataset: 0.000 eV/atom.

Cell lengths 6.7710, 4.1583, 7.0950 Å; angles 90.00, 90.00, 90.00 degrees
Last column: nearest neighbours and their distance in Å.
Space group Pnma (No. 62)
Symmetry-distinct sites (fractional):
Ho 0.0059 0.2500 0.1945 [4 per cell]  6 Be 2.87-3.06, 6 Rh 2.88-3.18
Be 0.1810 0.2500 0.5911 [4 per cell]  4 Rh 2.39-2.57
Rh 0.1737 0.7500 0.4264 [4 per cell]  4 Be 2.39-2.57

---

No. 6
A plane-wave DFT calculation with PBE was carried out for crystalline HoBe3Rh3 at its relaxed geometry.

Cell lengths 5.9845, 5.9845, 5.9845 Å; angles 90.00, 90.00, 90.00 degrees
Last column: nearest neighbours and their distance in Å.
Space group Pm-3n (No. 223)
Symmetry-distinct sites (fractional):
Ho 0.0000 0.0000 0.0000 [2 per cell]  12 Be 3.35, 12 Rh 3.35
Be 0.0000 0.2500 0.5000 [6 per cell]  4 Rh 2.12
Rh 0.0000 0.5000 0.2500 [6 per cell]  4 Be 2.12

---

no.,spin magnetization (μB per atom),ΔH_f (0 K) (kJ per mole of atoms),E (eV/atom)
1,0.000,-38.2,-5.454
2,0.000,-53.7,-5.775
3,0.000,-38.6,-5.459
4,0.000,-53.0,-5.768
5,0.000,-61.0,-5.851
6,0.000,-23.7,-5.648